# 1
# PBE SrOsN2F, relaxed
data_SrOsN2F
_chemical_formula_sum 'Sr1 Os1 N2 F1'
_symmetry_space_group_name_H-M 'P 4/m m m'
_symmetry_Int_Tables_number 123
_symmetry_space_group_name_Hall '-P 4 2'
_cell_length_a 4.633
_cell_length_b 4.633
_cell_length_c 4.337
_cell_angle_alpha 90.00
_cell_angle_beta 90.00
_cell_angle_gamma 90.00
loop_
_atom_site_label
_atom_site_fract_x
_atom_site_fract_y
_atom_site_fract_z
Sr1 0.000 0.000 0.000
Os1 0.500 0.500 0.500
N1 0.000 0.500 0.000
F1 0.000 0.000 0.500
# ΔE_f (raw) in eV per atom: 1.819
# Magnetization in μB per cell: 4.78
# Excess energy over the best structure of this formula in the dataset in eV per atom: 2.5710

---

# 2
# PBE SrOsN2F, relaxed
data_SrOsN2F
_chemical_formula_sum 'Sr1 Os1 N2 F1'
_symmetry_space_group_name_H-M 'P 4/m m m'
_symmetry_Int_Tables_number 123
_symmetry_space_group_name_Hall '-P 4 2'
_cell_length_a 3.833
_cell_length_b 3.833
_cell_length_c 4.913
_cell_angle_alpha 90.00
_cell_angle_beta 90.00
_cell_angle_gamma 90.00
loop_
_atom_site_label
_atom_site_fract_x
_atom_site_fract_y
_atom_site_fract_z
Sr1 0.000 0.000 0.000
Os1 0.500 0.500 0.500
N1 0.000 0.500 0.500
F1 0.500 0.500 0.000
# ΔE_f (raw) in eV per atom: -0.752
# Magnetization in μB per cell: 0.00
# Excess energy over the best structure of this formula in the dataset in eV per atom: 0.0000

---

# 3
# PBE TaOsNF2, relaxed
data_TaOsNF2
_chemical_formula_sum 'Ta1 Os1 N1 F2'
_symmetry_space_group_name_H-M 'P 4/m m m'
_symmetry_Int_Tables_number 123
_symmetry_space_group_name_Hall '-P 4 2'
_cell_length_a 4.084
_cell_length_b 4.084
_cell_length_c 4.112
_cell_angle_alpha 90.00
_cell_angle_beta 90.00
_cell_angle_gamma 90.00
loop_
_atom_site_label
_atom_site_fract_x
_atom_site_fract_y
_atom_site_fract_z
Ta1 0.000 0.000 0.000
Os1 0.500 0.500 0.500
N1 0.000 0.000 0.500
F1 0.000 0.500 0.000
# ΔE_f (raw) in eV per atom: -0.007
# Magnetization in μB per cell: 2.54
# Excess energy over the best structure of this formula in the dataset in eV per atom: 0.0000

---

# 4
# PBE TaOsN2F, relaxed
data_TaOsN2F
_chemical_formula_sum 'Ta1 Os1 N2 F1'
_symmetry_space_group_name_H-M 'P 4/m m m'
_symmetry_Int_Tables_number 123
_symmetry_space_group_name_Hall '-P 4 2'
_cell_length_a 3.896
_cell_length_b 3.896
_cell_length_c 4.017
_cell_angle_alpha 90.00
_cell_angle_beta 90.00
_cell_angle_gamma 90.00
loop_
_atom_site_label
_atom_site_fract_x
_atom_site_fract_y
_atom_site_fract_z
Ta1 0.000 0.000 0.000
Os1 0.500 0.500 0.500
N1 0.000 0.500 0.500
F1 0.500 0.500 0.000
# ΔE_f (raw) in eV per atom: 0.827
# Magnetization in μB per cell: 0.00
# Excess energy over the best structure of this formula in the dataset in eV per atom: 0.3413

---

# 5
# PBE TaOsNF2, relaxed
data_TaOsNF2
_chemical_formula_sum 'Ta1 Os1 N1 F2'
_symmetry_space_group_name_H-M 'P 4/m m m'
_symmetry_Int_Tables_number 123
_symmetry_space_group_name_Hall '-P 4 2'
_cell_length_a 4.355
_cell_length_b 4.355
_cell_length_c 3.741
_cell_angle_alpha 90.00
_cell_angle_beta 90.00
_cell_angle_gamma 90.00
loop_
_atom_site_label
_atom_site_fract_x
_atom_site_fract_y
_atom_site_fract_z
Ta1 0.000 0.000 0.000
Os1 0.500 0.500 0.500
N1 0.500 0.500 0.000
F1 0.000 0.500 0.500
# ΔE_f (raw) in eV per atom: 0.554
# Magnetization in μB per cell: 2.12
# Excess energy over the best structure of this formula in the dataset in eV per atom: 0.5617

---

# 6
# PBE TaOsN2F, relaxed
data_TaOsN2F
_chemical_formula_sum 'Ta1 Os1 N2 F1'
_symmetry_space_group_name_H-M 'P 4/m m m'
_symmetry_Int_Tables_number 123
_symmetry_space_group_name_Hall '-P 4 2'
_cell_length_a 4.104
_cell_length_b 4.104
_cell_length_c 3.905
_cell_angle_alpha 90.00
_cell_angle_beta 90.00
_cell_angle_gamma 90.00
loop_
_atom_site_label
_atom_site_fract_x
_atom_site_fract_y
_atom_site_fract_z
Ta1 0.000 0.000 0.000
Os1 0.500 0.500 0.500
N1 0.000 0.500 0.000
F1 0.000 0.000 0.500
# ΔE_f (raw) in eV per atom: 0.486
# Magnetization in μB per cell: 2.77
# Excess energy over the best structure of this formula in the dataset in eV per atom: 0.0000

---

# 7
# PBE TaOsN2F, relaxed
data_TaOsN2F
_chemical_formula_sum 'Ta1 Os1 N2 F1'
_symmetry_space_group_name_H-M 'P 4/m m m'
_symmetry_Int_Tables_number 123
_symmetry_space_group_name_Hall '-P 4 2'
_cell_length_a 4.025
_cell_length_b 4.025
_cell_length_c 3.707
_cell_angle_alpha 90.00
_cell_angle_beta 90.00
_cell_angle_gamma 90.00
loop_
_atom_site_label
_atom_site_fract_x
_atom_site_fract_y
_atom_site_fract_z
Ta1 0.000 0.000 0.000
Os1 0.500 0.500 0.000
N1 0.000 0.500 0.500
F1 0.500 0.500 0.500
# ΔE_f (raw) in eV per atom: 1.967
# Magnetization in μB per cell: 0.00
# Excess energy over the best structure of this formula in the dataset in eV per atom: 1.4809

---

# 8
# PBE TcOsN2F, relaxed
data_TcOsN2F
_chemical_formula_sum 'Tc1 Os1 N2 F1'
_symmetry_space_group_name_H-M 'P 4/m m m'
_symmetry_Int_Tables_number 123
_symmetry_space_group_name_Hall '-P 4 2'
_cell_length_a 3.842
_cell_length_b 3.842
_cell_length_c 4.401
_cell_angle_alpha 90.00
_cell_angle_beta 90.00
_cell_angle_gamma 90.00
loop_
_atom_site_label
_atom_site_fract_x
_atom_site_fract_y
_atom_site_fract_z
Tc1 0.000 0.000 0.000
Os1 0.500 0.500 0.500
N1 0.000 0.500 0.500
F1 0.500 0.500 0.000
# ΔE_f (raw) in eV per atom: 0.853
# Magnetization in μB per cell: 4.16
# Excess energy over the best structure of this formula in the dataset in eV per atom: 0.0000

---

# 9
# PBE TcOsN2F, relaxed
data_TcOsN2F
_chemical_formula_sum 'Tc1 Os1 N2 F1'
_symmetry_space_group_name_H-M 'P 4/m m m'
_symmetry_Int_Tables_number 123
_symmetry_space_group_name_Hall '-P 4 2'
_cell_length_a 3.911
_cell_length_b 3.911
_cell_length_c 4.014
_cell_angle_alpha 90.00
_cell_angle_beta 90.00
_cell_angle_gamma 90.00
loop_
_atom_site_label
_atom_site_fract_x
_atom_site_fract_y
_atom_site_fract_z
Tc1 0.000 0.000 0.000
Os1 0.500 0.500 0.500
N1 0.000 0.500 0.000
F1 0.000 0.000 0.500
# ΔE_f (raw) in eV per atom: 1.152
# Magnetization in μB per cell: 2.90
# Excess energy over the best structure of this formula in the dataset in eV per atom: 0.2989

---

# 10
# PBE TeOsN2F, relaxed
data_TeOsN2F
_chemical_formula_sum 'Te1 Os1 N2 F1'
_symmetry_space_group_name_H-M 'P 4/m m m'
_symmetry_Int_Tables_number 123
_symmetry_space_group_name_Hall '-P 4 2'
_cell_length_a 3.959
_cell_length_b 3.959
_cell_length_c 4.215
_cell_angle_alpha 90.00
_cell_angle_beta 90.00
_cell_angle_gamma 90.00
loop_
_atom_site_label
_atom_site_fract_x
_atom_site_fract_y
_atom_site_fract_z
Te1 0.000 0.000 0.000
Os1 0.500 0.500 0.500
N1 0.000 0.500 0.500
F1 0.500 0.500 0.000
# ΔE_f (raw) in eV per atom: 0.633
# Magnetization in μB per cell: 0.00
# Excess energy over the best structure of this formula in the dataset in eV per atom: 0.3646

---

# 11
# PBE TeOsN2F, relaxed
data_TeOsN2F
_chemical_formula_sum 'Te1 Os1 N2 F1'
_symmetry_space_group_name_H-M 'P 4/m m m'
_symmetry_Int_Tables_number 123
_symmetry_space_group_name_Hall '-P 4 2'
_cell_length_a 3.753
_cell_length_b 3.753
_cell_length_c 5.708
_cell_angle_alpha 90.00
_cell_angle_beta 90.00
_cell_angle_gamma 90.00
loop_
_atom_site_label
_atom_site_fract_x
_atom_site_fract_y
_atom_site_fract_z
Te1 0.000 0.000 0.000
Os1 0.000 0.000 0.500
N1 0.000 0.500 0.500
F1 0.500 0.500 0.000
# ΔE_f (raw) in eV per atom: 0.269
# Magnetization in μB per cell: 0.23
# Excess energy over the best structure of this formula in the dataset in eV per atom: 0.0000

---

# 12
# PBE TeOsN2F, relaxed
data_TeOsN2F
_chemical_formula_sum 'Te1 Os1 N2 F1'
_symmetry_space_group_name_H-M 'P 4/m m m'
_symmetry_Int_Tables_number 123
_symmetry_space_group_name_Hall '-P 4 2'
_cell_length_a 3.993
_cell_length_b 3.993
_cell_length_c 4.161
_cell_angle_alpha 90.00
_cell_angle_beta 90.00
_cell_angle_gamma 90.00
loop_
_atom_site_label
_atom_site_fract_x
_atom_site_fract_y
_atom_site_fract_z
Te1 0.000 0.000 0.000
Os1 0.500 0.500 0.000
N1 0.000 0.500 0.500
F1 0.000 0.000 0.500
# ΔE_f (raw) in eV per atom: 2.362
# Magnetization in μB per cell: 0.71
# Excess energy over the best structure of this formula in the dataset in eV per atom: 2.0932